Crystalline TaCdInCo at its relaxed geometry, computed with PBE.

a b c (Å): 6.550 6.550 6.550
angles (deg): 90.00 90.00 90.00
Space group F-43m (No. 216)
Symmetry-distinct sites (fractional):
1 Ta 0.000 0.000 0.000 (multiplicity 4)
2 Cd 0.250 0.250 0.750 (multiplicity 4)
3 In 0.250 0.250 0.250 (multiplicity 4)
4 Co 0.000 0.000 0.500 (multiplicity 4)

***

Crystalline TaCdInCo at its relaxed geometry, computed with PBE.

a b c (Å): 6.509 6.509 6.509
angles (deg): 90.00 90.00 90.00
Space group F-43m (No. 216)
Symmetry-distinct sites (fractional):
1 Ta 0.000 0.000 0.000 (multiplicity 4)
2 Cd 0.250 0.250 0.250 (multiplicity 4)
3 In 0.000 0.000 0.500 (multiplicity 4)
4 Co 0.250 0.250 0.750 (multiplicity 4)

***

What did we get for spin magnetization? Answer: 0.3119; 0.0366 μB/atom, in the order shown.
What did we get for energy above the lowest structure with this stoichiometry? Answer: 0.64; 0.00 eV per formula unit, in the order shown.